DFT (PBE-GGA) results for Ce3Th5Sc4 after structural relaxation.

calculated total energy: -79.504 eV for the cell shown
space-group type: P-1 (2)
calculated formation energy: 0.72 eV/f.u.
crystal system: triclinic

a b c (Å): 6.000 6.955 9.207
angles (deg): 111.72 102.40 90.53
Atoms (fractional coordinates):
Ce (0.000, 0.000, 0.000)
Ce (0.225, 0.320, 0.669)
Ce (0.775, 0.680, 0.331)
Th (0.000, 0.500, 0.000)
Th (0.276, 0.921, 0.336)
Th (0.497, 0.245, 0.003)
Th (0.503, 0.755, 0.997)
Th (0.724, 0.079, 0.664)
Sc (0.229, 0.817, 0.666)
Sc (0.273, 0.424, 0.336)
Sc (0.727, 0.576, 0.664)
Sc (0.771, 0.183, 0.334)


DFT (PBE-GGA) results for CeThSc6 after structural relaxation.

calculated total energy: -50.926 eV for the cell shown
space-group type: P4/mmm (123)
calculated formation energy: 0.42 eV/f.u.
crystal system: tetragonal

a b c (Å): 4.698 4.698 9.443
angles (deg): 90.00 90.00 90.00
Atoms (fractional coordinates):
Ce (0.000, 0.000, 0.000)
Th (0.000, 0.000, 0.500)
Sc (0.000, 0.500, 0.249)
Sc (0.000, 0.500, 0.751)
Sc (0.500, 0.000, 0.249)
Sc (0.500, 0.000, 0.751)
Sc (0.500, 0.500, 0.000)
Sc (0.500, 0.500, 0.500)


DFT (PBE-GGA) results for Ce2Th3Sc after structural relaxation.

calculated total energy: -78.731 eV for the cell shown
space-group type: C2/c (15)
calculated formation energy: 1.09 eV/f.u.
crystal system: monoclinic

a b c (Å): 5.775 5.775 11.392
angles (deg): 90.93 90.93 110.03
Atoms (fractional coordinates):
Ce (0.124, 0.633, 0.879)
Ce (0.367, 0.876, 0.621)
Ce (0.633, 0.124, 0.379)
Ce (0.876, 0.367, 0.121)
Th (0.084, 0.916, 0.250)
Th (0.186, 0.327, 0.494)
Th (0.327, 0.186, 0.994)
Th (0.673, 0.814, 0.006)
Th (0.814, 0.673, 0.506)
Th (0.916, 0.084, 0.750)
Sc (0.451, 0.549, 0.250)
Sc (0.549, 0.451, 0.750)


DFT (PBE-GGA) results for Ce3Th3Sc2 after structural relaxation.

calculated total energy: -52.402 eV for the cell shown
space-group type: Immm (71)
calculated formation energy: 0.32 eV/f.u.
crystal system: orthorhombic

a b c (Å): 10.134 10.134 10.134
angles (deg): 152.09 151.92 40.01
Atoms (fractional coordinates):
Ce (0.000, 0.000, 0.000)
Ce (0.373, 0.873, 0.500)
Ce (0.627, 0.127, 0.500)
Th (0.128, 0.628, 0.500)
Th (0.500, 0.500, 0.000)
Th (0.872, 0.372, 0.500)
Sc (0.250, 0.250, 0.000)
Sc (0.750, 0.750, 0.000)


DFT (PBE-GGA) results for CeThSc after structural relaxation.

energy above the most stable polymorph in this dataset: 0.22 kcal/mol of atoms
calculated total energy: -19.516 eV for the cell shown
space-group type: P3m1 (156)
calculated formation energy: 0.17 eV/f.u.
crystal system: trigonal

a b c (Å): 3.448 3.448 8.283
angles (deg): 90.00 90.00 120.00
Atoms (fractional coordinates):
Ce (0.000, 0.000, 0.000)
Th (0.667, 0.333, 0.336)
Sc (0.333, 0.667, 0.666)


DFT (PBE-GGA) results for Ce2ThSc after structural relaxation.

energy above the most stable polymorph in this dataset: 0.00 kcal/mol of atoms
calculated total energy: -25.383 eV for the cell shown
space-group type: R-3m (166)
calculated formation energy: 0.24 eV/f.u.
crystal system: trigonal

a b c (Å): 11.211 11.211 11.211
angles (deg): 17.59 17.59 17.59
Atoms (fractional coordinates):
Ce (0.249, 0.249, 0.249)
Ce (0.751, 0.751, 0.751)
Th (0.000, 0.000, 0.000)
Sc (0.500, 0.500, 0.500)


DFT (PBE-GGA) results for Ce2Th6Sc after structural relaxation.

energy above the most stable polymorph in this dataset: 0.00 kcal/mol of atoms
calculated total energy: -61.725 eV for the cell shown
space-group type: P-6m2 (187)
calculated formation energy: 0.99 eV/f.u.
crystal system: hexagonal

a b c (Å): 3.481 3.481 26.526
angles (deg): 90.00 90.00 120.00
Atoms (fractional coordinates):
Ce (0.000, 0.000, 0.173)
Ce (0.000, 0.000, 0.827)
Th (0.000, 0.000, 0.395)
Th (0.000, 0.000, 0.605)
Th (0.667, 0.333, 0.063)
Th (0.667, 0.333, 0.283)
Th (0.667, 0.333, 0.717)
Th (0.667, 0.333, 0.937)
Sc (0.667, 0.333, 0.500)


DFT (PBE-GGA) results for CeTh2Sc after structural relaxation.

energy above the most stable polymorph in this dataset: 0.83 kcal/mol of atoms
calculated total energy: -26.865 eV for the cell shown
space-group type: Cmmm (65)
calculated formation energy: 0.24 eV/f.u.
crystal system: orthorhombic

a b c (Å): 5.943 5.943 3.466
angles (deg): 90.00 90.00 107.53
Atoms (fractional coordinates):
Ce (0.000, 0.000, 0.000)
Th (0.000, 0.500, 0.500)
Th (0.500, 0.000, 0.500)
Sc (0.500, 0.500, 0.000)